Material: Cd5Cu7
Method: DFT, PBE
State: optimized geometry

Output
**Crystal system**: tetragonal
**D(E_F)**: 8.4 states/eV/cell
**ΔE_f**: 17.1 kJ per mole of atoms

Lattice parameters (Å, degrees): 8.6357 8.6357 5.4960 90.00 90.00 90.00
Last column: nearest neighbours and their distance in Å.
Space group I4mm (No. 107)
Inequivalent atoms, fractional coordinates:
Cd 0.0000 0.0000 0.0000 [2 per cell]  6 Cu 2.74-2.75, 4 Cd 3.02
Cd 0.2023 0.2023 0.3156 [8 per cell]  5 Cu 2.67-2.80, 2 Cd 2.98
Cu 0.0000 0.0000 0.4992 [2 per cell]  4 Cu 2.48, 6 Cd 2.67-2.75
Cu 0.0000 0.2559 0.7059 [8 per cell]  3 Cu 2.48-2.53, 3 Cd 2.67-2.74
Cu 0.0000 0.5000 0.4621 [4 per cell]  6 Cu 2.50-2.75

Material: Dy6CdCu
Method: DFT, PBE
State: optimized geometry

Output
**Crystal system**: triclinic
**D(E_F)**: 11.2 states/eV/cell
**ΔE_f**: 16.3 kJ per mole of atoms

Lattice parameters (Å, degrees): 6.9686 6.9746 6.9764 61.69 61.71 61.78
Last column: nearest neighbours and their distance in Å.
Space group P-1 (No. 2)
Inequivalent atoms, fractional coordinates:
Dy 0.0339 0.2717 0.4356 [2 per cell]  1 Cu 2.75, 1 Cd 3.02
Dy 0.2286 0.0644 0.9658 [2 per cell]  1 Cu 2.75, 1 Cd 3.02
Dy 0.4367 0.5334 0.7713 [2 per cell]  1 Cu 2.75, 1 Cd 3.02
Cd 0.5000 0.0000 0.5000 [1 per cell]  6 Dy 3.02
Cu 0.0000 0.5000 0.0000 [1 per cell]  6 Dy 2.75

Material: Dy11Cd9Cu4
Method: DFT, PBE
State: optimized geometry

Output
**Crystal system**: orthorhombic
**D(E_F)**: 40.8 states/eV/cell
**ΔE_f**: -30.0 kJ per mole of atoms

Lattice parameters (Å, degrees): 14.5706 21.7781 3.6457 90.00 90.00 90.00
Last column: nearest neighbours and their distance in Å.
Space group Cmmm (No. 65)
Inequivalent atoms, fractional coordinates:
Dy 0.0000 0.0000 0.0000 [2 per cell]  8 Cd 3.20, 2 Dy 3.53
Dy 0.0000 0.1620 0.0000 [4 per cell]  8 Cd 3.22-3.41, 3 Dy 3.53-3.60
Dy 0.0000 0.3698 0.0000 [4 per cell]  4 Cu 2.90
Dy 0.1942 0.5000 0.0000 [4 per cell]  4 Cu 2.90
Dy 0.2467 0.1695 0.0000 [8 per cell]  2 Cu 2.83, 2 Cd 3.17
Cd 0.0000 0.5000 0.5000 [2 per cell]  4 Cu 3.05, 8 Dy 3.37
Cd 0.1049 0.2617 0.5000 [8 per cell]  1 Cd 3.06, 1 Cu 3.10, 8 Dy 3.20-3.41
Cd 0.1451 0.0717 0.5000 [8 per cell]  1 Cu 3.07, 1 Cd 3.12, 8 Dy 3.17-3.41
Cu 0.1479 0.4010 0.5000 [8 per cell]  6 Dy 2.83-2.90, 3 Cd 3.05-3.10

Material: Dy8Cd2Cu
Method: DFT, PBE
State: optimized geometry

Output
**Crystal system**: monoclinic
**D(E_F)**: 22.7 states/eV/cell
**ΔE_f**: -9.6 kJ per mole of atoms

Lattice parameters (Å, degrees): 17.8406 5.2499 6.8387 90.00 106.44 90.00
Last column: nearest neighbours and their distance in Å.
Space group C2/m (No. 12)
Inequivalent atoms, fractional coordinates:
Dy 0.0208 0.0000 0.2762 [4 per cell]  1 Cd 3.07, 2 Cu 3.11, 3 Dy 3.35-3.38
Dy 0.0910 0.5000 0.9436 [4 per cell]  1 Cu 3.01
Dy 0.1547 0.5000 0.4619 [4 per cell]  1 Cu 2.84, 1 Cd 3.04
Dy 0.1996 0.0000 0.7963 [4 per cell]  3 Cd 3.00-3.35
Cd 0.1863 0.0000 0.2240 [4 per cell]  7 Dy 3.00-3.35
Cu 0.0000 0.5000 0.5000 [2 per cell]  8 Dy 2.84-3.11

| no. | E (eV per atom) | calculated volume (A^3/atom) |
| --- | --- | --- |
| 1 | -2.594 | 17.08 |
| 2 | -3.910 | 31.13 |
| 3 | -3.447 | 24.10 |
| 4 | -3.985 | 27.92 |